First-principles (GGA-PBE) data for a relaxed Cd2NiBr crystal, as listed in the Alexandria database.

**SG**: No. 8
**E_form (uncorrected)**: -22 meV/atom
**Energy above the most stable polymorph in this dataset**: 0.01 eV per formula unit

Lattice parameters (Å, degrees): 5.0015 5.0015 6.3801 77.75 77.75 40.81
Closest atoms and distances in Å follow each position.
Fractional coordinates of all 4 atoms:
Ni (0.4626, 0.4626, 0.3999)  2 Br 2.53, 5 Cd 2.62-2.74
Cd (0.9489, 0.9489, 0.0982)  2 Ni 2.62, 1 Br 2.75, 1 Cd 2.92
Br (0.8940, 0.8940, 0.6921)  2 Ni 2.53, 1 Cd 2.75
Cd (0.1945, 0.1945, 0.3097)  3 Ni 2.70-2.74, 3 Cd 2.92-3.02